Entry 1:
First-principles (PBE) data for AcBC2O8 after structural relaxation, as listed in the Alexandria database.

## Properties
* energy relative to the elements, uncorrected: -1.387 eV/atom
* electronic total energy: -7.13 eV/atom

Geometry as CIF:
```
data_AcBC2O8
_space_group_name_H-M_alt 'C 1 2/m 1'
_space_group_IT_number 12
_space_group_name_Hall '-C 2y'
_cell_length_a 7.981
_cell_length_b 4.389
_cell_length_c 6.906
_cell_angle_alpha 90.00
_cell_angle_beta 108.98
_cell_angle_gamma 90.00
loop_
_atom_site_label
_atom_site_fract_x
_atom_site_fract_y
_atom_site_fract_z
Ac1 0.000 0.000 0.000
B1 0.000 0.500 0.500
C1 0.189 0.000 0.681
O1 0.075 0.254 0.678
O2 0.186 0.500 0.130
O3 0.249 0.500 0.484
```

=====

Entry 2:
First-principles (PBE) data for AcB2Pt2C after structural relaxation, as listed in the Alexandria database.

## Properties
* electronic total energy: -7.03 eV/atom
* energy of formation: -0.570 eV per atom

Geometry as CIF:
```
data_AcB2Pt2C
_space_group_name_H-M_alt 'I 4/m m m'
_space_group_IT_number 139
_space_group_name_Hall '-I 4 2'
_cell_length_a 3.992
_cell_length_b 3.992
_cell_length_c 10.726
_cell_angle_alpha 90.00
_cell_angle_beta 90.00
_cell_angle_gamma 90.00
loop_
_atom_site_label
_atom_site_fract_x
_atom_site_fract_y
_atom_site_fract_z
Ac1 0.000 0.000 0.000
B1 0.000 0.000 0.361
Pt1 0.000 0.500 0.250
C1 0.000 0.000 0.500
```

=====

no.,M_tot (μB per cell)
1,1.0
2,0.0